A plane-wave DFT calculation with GGA-PBE was carried out for a geometry-optimized CsAlN2F structure.

It has space group P4/mmm (No. 123), with a = 3.968 Å, b = 3.968 Å, c = 4.707 Å, α = 90.00°, β = 90.00° and γ = 90.00°. Symmetry generates all atoms from Cs at (0.000, 0.000, 0.000), Al at (0.500, 0.500, 0.500), N at (0.000, 0.500, 0.500) and F at (0.500, 0.500, 0.000).

The value obtained for the raw formation energy is -0.294 eV/atom. The value obtained for the distance to the lowest polymorph of the same formula is 0 meV/atom. For the calculated volume, the calculation gives 14.82 A^3/atom. The value obtained for the spin magnetization is 2.93 μB per formula unit. Its crystal system is tetragonal.